1.
This record from Alexandria describes a relaxed ScTiAu2I crystal. The functional is GGA-PBE.

a b c (Å): 5.247 5.198 5.247
angles (deg): 90.00 90.00 90.00
Element x y z (fractional)
Ti 0.500 0.500 0.500
Sc 0.000 0.500 0.000
Au 0.000 0.000 0.500
I 0.000 0.000 0.000
Au 0.500 0.000 0.000

Formation energy without anion corrections = 0.9518 eV per atom
Magnetic moment = 2.48 Bohr magnetons per cell

2.
This record from Alexandria describes a relaxed Na2TlHgPt crystal. The functional is GGA-PBE.

a b c (Å): 5.512 5.512 5.243
angles (deg): 90.00 90.00 90.00
Element x y z (fractional)
Na 0.500 0.000 0.000
Tl 0.000 0.000 0.500
Hg 0.500 0.500 0.500
Na 0.000 0.500 0.000
Pt 0.000 0.000 0.000

Energy relative to the elements = -36 kJ/mol of formula units
Magnetic moment = 0.00 Bohr magnetons per cell

3.
This record from Alexandria describes a relaxed TaSi6W2 crystal. The functional is GGA-PBE.

a b c (Å): 4.710 4.686 6.574
angles (deg): 90.00 90.00 120.17
Element x y z (fractional)
Si 0.677 0.837 0.666
Si 0.839 0.163 0.334
Si 0.323 0.163 0.666
Si 0.162 0.324 0.000
W 0.500 0.500 0.335
Si 0.838 0.676 0.000
W 0.000 0.500 0.665
Ta 0.500 0.000 0.000
Si 0.161 0.837 0.334

Formation energy without anion corrections = -0.3449 eV per atom
Magnetic moment = 0.00 Bohr magnetons per cell